[1]
LiInReTc: relaxed, PBE.

Geometry as POSCAR:
```
LiInReTc
1.0
6.233 0.000 0.000
0.000 6.233 0.000
0.000 0.000 6.233
Li In Re Tc
4 4 4 4
Direct
0.000 0.000 0.000
0.000 0.500 0.500
0.500 0.000 0.500
0.500 0.500 0.000
0.250 0.250 0.750
0.250 0.750 0.250
0.750 0.250 0.250
0.750 0.750 0.750
0.250 0.250 0.250
0.250 0.750 0.750
0.750 0.250 0.750
0.750 0.750 0.250
0.000 0.000 0.500
0.000 0.500 0.000
0.500 0.000 0.000
0.500 0.500 0.500
```

ΔE to the lowest computed polymorph   0 meV/atom
Magnetic moment   0.00 μB per formula unit


[2]
InTcPd2: relaxed, PBE.

Geometry as POSCAR:
```
InTcPd2
1.0
6.389 0.000 0.000
0.000 6.389 0.000
0.000 0.000 6.389
In Tc Pd
4 4 8
Direct
0.000 0.000 0.000
0.000 0.500 0.500
0.500 0.000 0.500
0.500 0.500 0.000
0.250 0.250 0.750
0.250 0.750 0.250
0.750 0.250 0.250
0.750 0.750 0.750
0.000 0.000 0.500
0.000 0.500 0.000
0.250 0.250 0.250
0.250 0.750 0.750
0.500 0.000 0.000
0.500 0.500 0.500
0.750 0.250 0.750
0.750 0.750 0.250
```

Magnetic moment   1.79 μB per formula unit
Total DFT energy (no corrections)   -5.801 eV/atom


[3]
PmAsI2O2: relaxed, PBE.

Geometry as POSCAR:
```
PmAsI2O2
1.0
3.864 0.000 0.000
0.000 3.864 0.000
0.000 0.000 9.118
Pm As I O
1 1 2 2
Direct
0.000 0.000 0.000
0.500 0.500 0.249
0.000 0.000 0.450
0.500 0.500 0.792
0.000 0.500 0.138
0.500 0.000 0.138
```

Magnetic moment   0.00 μB per formula unit
Total DFT energy (no corrections)   -5.252 eV/atom


[4]
Cs2KZrI6: relaxed, PBE.

Geometry as POSCAR:
```
Cs2KZrI6
1.0
0.000 6.298 6.298
6.298 0.000 6.298
6.298 6.298 0.000
Cs K Zr I
2 1 1 6
Direct
0.250 0.250 0.250
0.750 0.750 0.750
0.000 0.000 0.000
0.500 0.500 0.500
0.268 0.268 0.732
0.268 0.732 0.268
0.268 0.732 0.732
0.732 0.268 0.268
0.732 0.268 0.732
0.732 0.732 0.268
```

Magnetic moment   1.00 μB per formula unit
Total DFT energy (no corrections)   -3.296 eV/atom


[5]
NiBi2Mo: relaxed, PBE.

Geometry as POSCAR:
```
NiBi2Mo
1.0
6.968 0.000 0.000
0.000 6.968 0.000
0.000 0.000 6.968
Ni Bi Mo
4 8 4
Direct
0.000 0.000 0.000
0.000 0.500 0.500
0.500 0.000 0.500
0.500 0.500 0.000
0.000 0.000 0.500
0.000 0.500 0.000
0.250 0.250 0.750
0.250 0.750 0.250
0.500 0.000 0.000
0.500 0.500 0.500
0.750 0.250 0.250
0.750 0.750 0.750
0.250 0.250 0.250
0.250 0.750 0.750
0.750 0.250 0.750
0.750 0.750 0.250
```

Magnetic moment   0.78 μB per formula unit
Total DFT energy (no corrections)   -5.192 eV/atom


[6]
Y4CuSiN2: relaxed, PBE.

Geometry as POSCAR:
```
Y4CuSiN2
1.0
3.498 0.000 0.000
-1.749 3.029 0.000
0.000 0.000 14.226
Y Cu Si N
4 1 1 2
Direct
0.000 0.000 0.149
0.000 0.000 0.851
0.667 0.333 0.342
0.667 0.333 0.658
0.667 0.333 0.000
0.000 0.000 0.500
0.333 0.667 0.251
0.333 0.667 0.749
```

Magnetic moment   0.08 μB per formula unit
Total DFT energy (no corrections)   -7.362 eV/atom


no.,V (Å³/cell)
1,242.2
2,260.8
3,136.1
4,499.5
5,338.3
6,150.8